Below is an optimized crystal structure of GaFe2IrC, with properties calculated at the PBE level.

Results
- E: -7.58 eV/atom
- ΔE_f: 0.16 eV/f.u.

abc: 3.8058 3.8058 4.0608
angles: 90.00 90.00 90.00
Last column: nearest neighbours and their distance in Å.
Positions (direct):
C (0.0000, 0.0000, 0.0000)  4 Fe 1.90, 2 Ir 2.03
Ir (0.0000, 0.0000, 0.5000)  2 C 2.03
Fe (0.0000, 0.5000, 0.0000)  2 C 1.90
Fe (0.5000, 0.0000, 0.0000)  2 C 1.90
Ga (0.5000, 0.5000, 0.5000)  4 Ir 2.69, 8 Fe 2.78